# YMgSbP2, relaxed, DFT PBE-GGA
data_YMgSbP2
_chemical_formula_sum 'Y1 Mg1 Sb1 P2'
_cell_length_a 5.2037
_cell_length_b 5.2037
_cell_length_c 5.8371
_cell_angle_alpha 90.00
_cell_angle_beta 90.00
_cell_angle_gamma 90.00
_space_group_name_H-M_alt 'P 4/m m m'
_space_group_IT_number 123
_space_group_name_Hall '-P 4 2'
loop_
_atom_site_label
_atom_site_type_symbol
_atom_site_fract_x
_atom_site_fract_y
_atom_site_fract_z
_atom_site_occupancy
Y1 Y 0.0000 0.0000 0.0000 1
Mg1 Mg 0.5000 0.5000 0.5000 1
Sb1 Sb 0.0000 0.0000 0.5000 1
P1 P 0.0000 0.5000 0.0000 1
# - Magnetic moment: 0.0 μB/cell
# - Electronic total energy: -20.91 eV per formula unit
# - ρ: 3.1 g/cm³
# - Formation energy (no corrections): 0.419 eV per atom